This record from the Alexandria database describes a relaxed structure of RbAuSe2O8. The functional is GGA-PBE.

Cell: 9.461 9.461 9.461 Å, 31.55 31.55 31.55°
Element x y z (fractional)
Rb1 0.000 0.000 0.000
Au1 0.500 0.500 0.500
Se1 0.236 0.236 0.236
Se2 0.764 0.764 0.764
O1 0.098 0.470 0.782
O2 0.218 0.902 0.530
O3 0.298 0.298 0.298
O4 0.470 0.782 0.098
O5 0.530 0.218 0.902
O6 0.702 0.702 0.702
O7 0.782 0.098 0.470
O8 0.902 0.530 0.218

Total moment (μB per atom): 0.168
Final energy (eV/atom): -4.84
SG: R-3, No. 148
Formation energy from raw total energies (eV per atom): -0.60

This record from the Alexandria database describes a relaxed structure of RbAuSeO6. The functional is GGA-PBE.

Cell: 5.147 5.147 6.454 Å, 90.00 90.00 120.00°
Element x y z (fractional)
Rb1 0.000 0.000 0.000
Au1 0.333 0.667 0.500
Se1 0.667 0.333 0.500
O1 0.389 0.032 0.665
O2 0.389 0.357 0.335
O3 0.643 0.032 0.335
O4 0.643 0.611 0.665
O5 0.968 0.357 0.665
O6 0.968 0.611 0.335

Total moment (μB per atom): 0.000
Final energy (eV/atom): -4.72
SG: P312, No. 149
Formation energy from raw total energies (eV per atom): -0.55

This record from the Alexandria database describes a relaxed structure of RbSm2Au2O6. The functional is GGA-PBE.

Cell: 6.327 6.380 6.716 Å, 116.11 97.77 109.09°
Element x y z (fractional)
Rb1 0.000 0.000 0.000
Sm1 0.022 0.340 0.684
Sm2 0.978 0.660 0.316
Au1 0.458 0.046 0.818
Au2 0.542 0.954 0.182
O1 0.160 0.713 0.671
O2 0.229 0.660 0.089
O3 0.249 0.113 0.603
O4 0.751 0.887 0.397
O5 0.771 0.340 0.911
O6 0.840 0.287 0.329

Density of states at the Fermi level (states/eV/cell): 4.2
Total moment (μB per atom): 0.083
Final energy (eV/atom): -5.87
SG: P-1, No. 2
Formation energy from raw total energies (eV per atom): -1.62

This record from the Alexandria database describes a relaxed structure of Rb2SmAuO4. The functional is GGA-PBE.

Cell: 13.975 12.301 8.003 Å, 84.15 61.12 34.73°
Element x y z (fractional)
Rb1 0.068 0.068 0.682
Rb2 0.318 0.318 0.932
Rb3 0.682 0.682 0.068
Rb4 0.932 0.932 0.318
Sm1 0.125 0.125 0.125
Sm2 0.875 0.875 0.875
Au1 0.375 0.375 0.375
Au2 0.625 0.625 0.625
O1 0.044 0.703 0.509
O2 0.244 0.509 0.703
O3 0.297 0.956 0.756
O4 0.491 0.756 0.956
O5 0.509 0.244 0.044
O6 0.703 0.044 0.244
O7 0.756 0.491 0.297
O8 0.956 0.297 0.491

Total moment (μB per atom): 0.000
Final energy (eV/atom): -5.02
SG: Fddd, No. 70
Formation energy from raw total energies (eV per atom): -1.30

This record from the Alexandria database describes a relaxed structure of RbSmAuO2. The functional is GGA-PBE.

Cell: 6.838 5.468 6.753 Å, 90.00 95.79 90.00°
Element x y z (fractional)
Rb1 0.000 0.249 0.250
Rb2 0.000 0.751 0.750
Sm1 0.500 0.483 0.750
Sm2 0.500 0.517 0.250
Au1 0.500 0.000 0.000
Au2 0.500 0.000 0.500
O1 0.299 0.376 0.987
O2 0.299 0.624 0.487
O3 0.701 0.376 0.513
O4 0.701 0.624 0.013

Density of states at the Fermi level (states/eV/cell): 4.1
Total moment (μB per atom): 0.000
Final energy (eV/atom): -5.38
SG: P2/c, No. 13
Formation energy from raw total energies (eV per atom): -1.61

This record from the Alexandria database describes a relaxed structure of RbSm2AuO5. The functional is GGA-PBE.

Cell: 7.864 7.864 7.864 Å, 128.90 128.90 75.17°
Element x y z (fractional)
Rb1 0.250 0.250 0.000
Rb2 0.750 0.750 0.000
Sm1 0.174 0.674 0.848
Sm2 0.326 0.174 0.500
Sm3 0.674 0.826 0.500
Sm4 0.826 0.326 0.152
Au1 0.250 0.750 0.500
Au2 0.750 0.250 0.500
O1 0.000 0.000 0.000
O2 0.020 0.254 0.500
O3 0.246 0.480 0.500
O4 0.254 0.754 0.234
O5 0.480 0.980 0.234
O6 0.500 0.500 0.000
O7 0.520 0.020 0.766
O8 0.746 0.246 0.766
O9 0.754 0.520 0.500
O10 0.980 0.746 0.500

Density of states at the Fermi level (states/eV/cell): 5.1
Total moment (μB per atom): 0.215
Final energy (eV/atom): -6.26
SG: I4/mcm, No. 140
Formation energy from raw total energies (eV per atom): -1.99

This record from the Alexandria database describes a relaxed structure of RbSr2AuO4. The functional is GGA-PBE.

Cell: 6.736 6.736 13.019 Å, 90.00 90.00 146.44°
Element x y z (fractional)
Rb1 0.060 0.940 0.750
Rb2 0.940 0.060 0.250
Sr1 0.369 0.631 0.538
Sr2 0.369 0.631 0.962
Sr3 0.631 0.369 0.038
Sr4 0.631 0.369 0.462
Au1 0.220 0.780 0.250
Au2 0.780 0.220 0.750
O1 0.000 0.000 0.000
O2 0.000 0.000 0.500
O3 0.241 0.759 0.097
O4 0.241 0.759 0.403
O5 0.328 0.672 0.750
O6 0.672 0.328 0.250
O7 0.759 0.241 0.597
O8 0.759 0.241 0.903

Density of states at the Fermi level (states/eV/cell): 4.1
Total moment (μB per atom): 0.000
Final energy (eV/atom): -5.03
SG: Cmcm, No. 63
Formation energy from raw total energies (eV per atom): -1.60

This record from the Alexandria database describes a relaxed structure of RbTaAuO2. The functional is GGA-PBE.

Cell: 4.106 4.106 5.539 Å, 90.00 90.00 90.00°
Element x y z (fractional)
Rb1 0.000 0.000 0.000
Ta1 0.500 0.500 0.500
Au1 0.500 0.500 0.000
O1 0.000 0.500 0.500
O2 0.500 0.000 0.500

Density of states at the Fermi level (states/eV/cell): 1.1
Total moment (μB per atom): 0.000
Final energy (eV/atom): -6.61
SG: P4/mmm, No. 123
Formation energy from raw total energies (eV per atom): -1.40

This record from the Alexandria database describes a relaxed structure of RbTb2Au2O6. The functional is GGA-PBE.

Cell: 5.562 6.342 6.700 Å, 70.67 78.87 79.13°
Element x y z (fractional)
Rb1 0.000 0.000 0.000
Tb1 0.196 0.298 0.410
Tb2 0.804 0.702 0.590
Au1 0.357 0.475 0.880
Au2 0.643 0.525 0.120
O1 0.027 0.995 0.391
O2 0.126 0.442 0.676
O3 0.477 0.004 0.605
O4 0.523 0.996 0.395
O5 0.874 0.558 0.324
O6 0.973 0.005 0.609

Density of states at the Fermi level (states/eV/cell): 0.8
Total moment (μB per atom): 0.090
Final energy (eV/atom): -5.76
SG: P-1, No. 2
Formation energy from raw total energies (eV per atom): -1.53

This record from the Alexandria database describes a relaxed structure of RbTbAuO2. The functional is GGA-PBE.

Cell: 6.836 5.473 6.560 Å, 90.00 96.52 90.00°
Element x y z (fractional)
Rb1 0.000 0.241 0.250
Rb2 0.000 0.759 0.750
Tb1 0.500 0.017 0.750
Tb2 0.500 0.983 0.250
Au1 0.500 0.500 0.000
Au2 0.500 0.500 0.500
O1 0.300 0.117 0.984
O2 0.300 0.883 0.484
O3 0.700 0.117 0.516
O4 0.700 0.883 0.016

Density of states at the Fermi level (states/eV/cell): 3.5
Total moment (μB per atom): 0.000
Final energy (eV/atom): -5.43
SG: P2/c, No. 13
Formation energy from raw total energies (eV per atom): -1.67

This record from the Alexandria database describes a relaxed structure of Rb8TeAu2O. The functional is GGA-PBE.

Cell: 7.937 10.077 7.940 Å, 90.00 91.73 90.00°
Element x y z (fractional)
Rb1 0.184 0.200 0.171
Rb2 0.184 0.800 0.171
Rb3 0.244 0.000 0.742
Rb4 0.299 0.500 0.681
Rb5 0.701 0.500 0.319
Rb6 0.756 0.000 0.258
Rb7 0.816 0.200 0.829
Rb8 0.816 0.800 0.829
Te1 0.000 0.500 0.000
Au1 0.500 0.227 0.500
Au2 0.500 0.773 0.500
O1 0.000 0.000 0.000

Density of states at the Fermi level (states/eV/cell): 3.8
Total moment (μB per atom): 0.000
Final energy (eV/atom): -2.41
SG: P2/m, No. 10
Formation energy from raw total energies (eV per atom): -0.54

This record from the Alexandria database describes a relaxed structure of Rb5TeAuO2. The functional is GGA-PBE.

Cell: 5.746 5.746 9.626 Å, 90.00 90.00 90.00°
Element x y z (fractional)
Rb1 0.000 0.000 0.000
Rb2 0.000 0.500 0.263
Rb3 0.000 0.500 0.737
Rb4 0.500 0.000 0.263
Rb5 0.500 0.000 0.737
Te1 0.500 0.500 0.000
Au1 0.000 0.000 0.500
O1 0.000 0.000 0.289
O2 0.000 0.000 0.711

Total moment (μB per atom): 0.000
Final energy (eV/atom): -3.37
SG: P4/mmm, No. 123
Formation energy from raw total energies (eV per atom): -1.02

This record from the Alexandria database describes a relaxed structure of Rb6TeAu2O. The functional is GGA-PBE.

Cell: 8.317 8.857 14.346 Å, 90.00 124.44 90.00°
Element x y z (fractional)
Rb1 0.088 0.060 0.217
Rb2 0.088 0.440 0.717
Rb3 0.233 0.728 0.076
Rb4 0.233 0.772 0.576
Rb5 0.328 0.166 0.055
Rb6 0.328 0.334 0.555
Rb7 0.672 0.666 0.445
Rb8 0.672 0.834 0.945
Rb9 0.767 0.228 0.424
Rb10 0.767 0.272 0.924
Rb11 0.912 0.560 0.283
Rb12 0.912 0.940 0.783
Te1 0.500 0.000 0.500
Te2 0.500 0.500 0.000
Au1 0.283 0.075 0.756
Au2 0.283 0.425 0.256
Au3 0.717 0.575 0.744
Au4 0.717 0.925 0.244
O1 0.000 0.000 0.000
O2 0.000 0.500 0.500

Total moment (μB per atom): 0.015
Final energy (eV/atom): -2.71
SG: P2_1/c, No. 14
Formation energy from raw total energies (eV per atom): -0.66

This record from the Alexandria database describes a relaxed structure of RbTlAuO2. The functional is GGA-PBE.

Cell: 7.393 7.393 5.281 Å, 90.00 90.00 122.99°
Element x y z (fractional)
Rb1 0.250 0.750 0.761
Rb2 0.750 0.250 0.239
Tl1 0.250 0.250 0.000
Tl2 0.750 0.750 0.000
Au1 0.000 0.000 0.500
Au2 0.500 0.500 0.500
O1 0.101 0.899 0.199
O2 0.399 0.601 0.199
O3 0.601 0.399 0.801
O4 0.899 0.101 0.801

Density of states at the Fermi level (states/eV/cell): 4.6
Total moment (μB per atom): 0.000
Final energy (eV/atom): -3.89
SG: Cmme, No. 67
Formation energy from raw total energies (eV per atom): -0.59

This record from the Alexandria database describes a relaxed structure of RbTl2AuO. The functional is GGA-PBE.

Cell: 7.594 7.594 8.767 Å, 90.00 90.00 146.72°
Element x y z (fractional)
Rb1 0.027 0.973 0.750
Rb2 0.973 0.027 0.250
Tl1 0.345 0.655 0.537
Tl2 0.345 0.655 0.963
Tl3 0.655 0.345 0.037
Tl4 0.655 0.345 0.463
Au1 0.229 0.771 0.250
Au2 0.771 0.229 0.750
O1 0.500 0.500 0.000
O2 0.500 0.500 0.500

Density of states at the Fermi level (states/eV/cell): 2.3
Total moment (μB per atom): 0.000
Final energy (eV/atom): -3.30
SG: Cmcm, No. 63
Formation energy from raw total energies (eV per atom): -0.51

This record from the Alexandria database describes a relaxed structure of Rb2TlAuO. The functional is GGA-PBE.

Cell: 5.705 5.705 5.006 Å, 90.00 90.00 90.00°
Element x y z (fractional)
Rb1 0.000 0.500 0.000
Rb2 0.500 0.000 0.000
Tl1 0.000 0.000 0.500
Au1 0.500 0.500 0.500
O1 0.000 0.000 0.000

Density of states at the Fermi level (states/eV/cell): 1.6
Total moment (μB per atom): 0.038
Final energy (eV/atom): -3.03
SG: P4/mmm, No. 123
Formation energy from raw total energies (eV per atom): -0.52

This record from the Alexandria database describes a relaxed structure of RbTm2Au2O6. The functional is GGA-PBE.

Cell: 6.164 6.353 6.358 Å, 96.94 116.25 109.82°
Element x y z (fractional)
Rb1 0.000 0.000 0.000
Tm1 0.342 0.020 0.683
Tm2 0.658 0.980 0.317
Au1 0.056 0.463 0.812
Au2 0.944 0.537 0.188
O1 0.110 0.232 0.589
O2 0.296 0.828 0.337
O3 0.369 0.774 0.909
O4 0.631 0.226 0.091
O5 0.704 0.172 0.663
O6 0.890 0.768 0.411

Density of states at the Fermi level (states/eV/cell): 2.3
Total moment (μB per atom): 0.085
Final energy (eV/atom): -5.90
SG: P-1, No. 2
Formation energy from raw total energies (eV per atom): -1.70

This record from the Alexandria database describes a relaxed structure of RbYAuO2. The functional is GGA-PBE.

Cell: 6.839 5.489 6.521 Å, 90.00 96.52 90.00°
Element x y z (fractional)
Rb1 0.000 0.237 0.250
Rb2 0.000 0.763 0.750
Y1 0.500 0.017 0.750
Y2 0.500 0.983 0.250
Au1 0.500 0.500 0.000
Au2 0.500 0.500 0.500
O1 0.300 0.113 0.983
O2 0.300 0.887 0.483
O3 0.700 0.113 0.517
O4 0.700 0.887 0.017

Density of states at the Fermi level (states/eV/cell): 3.6
Total moment (μB per atom): 0.000
Final energy (eV/atom): -5.80
SG: P2/c, No. 13
Formation energy from raw total energies (eV per atom): -1.67

This record from the Alexandria database describes a relaxed structure of Rb2ZnAuO4. The functional is GGA-PBE.

Cell: 12.041 10.250 7.594 Å, 83.46 57.75 38.80°
Element x y z (fractional)
Rb1 0.046 0.046 0.704
Rb2 0.296 0.296 0.954
Rb3 0.704 0.704 0.046
Rb4 0.954 0.954 0.296
Zn1 0.125 0.125 0.125
Zn2 0.875 0.875 0.875
Au1 0.375 0.375 0.375
Au2 0.625 0.625 0.625
O1 0.021 0.726 0.542
O2 0.212 0.542 0.726
O3 0.274 0.979 0.788
O4 0.458 0.788 0.979
O5 0.542 0.212 0.021
O6 0.726 0.021 0.212
O7 0.788 0.458 0.274
O8 0.979 0.274 0.458

Density of states at the Fermi level (states/eV/cell): 14.1
Total moment (μB per atom): 0.130
Final energy (eV/atom): -4.12
SG: Fddd, No. 70
Formation energy from raw total energies (eV per atom): -0.83

This record from the Alexandria database describes a relaxed structure of RbZnAuO2. The functional is GGA-PBE.

Cell: 6.785 6.785 5.430 Å, 90.00 90.00 129.38°
Element x y z (fractional)
Rb1 0.250 0.750 0.778
Rb2 0.750 0.250 0.222
Zn1 0.250 0.250 0.000
Zn2 0.750 0.750 0.000
Au1 0.000 0.000 0.500
Au2 0.500 0.500 0.500
O1 0.090 0.910 0.172
O2 0.410 0.590 0.172
O3 0.590 0.410 0.828
O4 0.910 0.090 0.828

E above lowest polymorph (meV/atom): 0
Total moment (μB per atom): 0.000
Final energy (eV/atom): -4.06
SG: Cmme, No. 67
Formation energy from raw total energies (eV per atom): -0.97